Ti2InFeH | the Alexandria database | PBE | relaxed; N(E_F) = 0.930 states/eV per atom; DFT total energy = -6.252 eV per atom; calculated density = 6.6 g/cm³; total magnetization = 1.9 μB per cell
1.0
4.218 0.000 0.000
0.000 4.218 0.000
0.000 0.000 3.763
Ti H Fe In
2 1 1 1
Direct
0.500 0.000 0.000 Ti
0.000 0.500 0.000 Ti
0.000 0.000 0.000 H
0.000 0.000 0.500 Fe
0.500 0.500 0.500 In